{"formula": "FeRuF2", "functional": "GGA+U", "state": "optimized geometry", "lattice_angstrom": [[-3.726, 2.150, 2.964], [-3.386, -0.413, -3.956], [-4.860, -3.569, 1.084]], "species": ["Ru", "Ru", "Fe", "Fe", "F", "F", "F", "F"], "frac_coords": [[0.750, 0.250, 0.500], [0.000, 0.000, 0.000], [0.250, 0.750, 0.500], [0.500, 0.500, 0.000], [0.544, 0.125, 0.250], [0.375, 0.456, 0.750], [0.875, 0.794, 0.750], [0.206, 0.625, 0.250]], "dft_energy_ev_per_atom": -5.046, "magnetic_moment_mub_per_fu": 6.56, "polymorph_energy_mev_per_atom": 94}